YPtO2 (PBE, optimized geometry); volume = 15.9 A^3/atom; space-group type = R-3m (166); formation energy (no corrections) = -3.268 eV/f.u.
1.0
2.0784 0.0000 5.6649
-1.0392 1.8000 5.6649
-1.0392 -1.8000 5.6649
Pt Y O
1 1 2
Direct
0.5000 0.5000 0.5000
0.0000 0.0000 0.0000
0.8717 0.8717 0.8717
0.1283 0.1283 0.1283


Ce3Br3N (PBE, optimized geometry); volume = 26.1 A^3/atom; space-group type = P2_1/m (11); formation energy (no corrections) = -10.468 eV/f.u.
1.0
-3.4661 -0.9960 -1.2051
-0.6780 -5.4180 6.4280
-4.5372 8.6072 5.9364
N Ce Br
2 6 6
Direct
0.2500 0.8868 0.3854
0.7500 0.1132 0.6146
0.2500 0.3104 0.6182
0.2500 0.8829 0.1710
0.2500 0.9092 0.6045
0.7500 0.0908 0.3955
0.7500 0.6896 0.3818
0.7500 0.1171 0.8290
0.7500 0.1460 0.1199
0.2500 0.3847 0.3615
0.2500 0.8540 0.8801
0.2500 0.3834 0.8761
0.7500 0.6153 0.6385
0.7500 0.6166 0.1239


Cs2OsWI (PBE, optimized geometry); volume = 58.0 A^3/atom; space-group type = P4/mmm (123); formation energy (no corrections) = 10.524 eV/f.u.
1.0
-7.2296 -0.6660 0.6458
0.6150 -5.2103 1.5116
0.4319 2.0743 6.9741
I W Cs Os
1 1 2 1
Direct
0.0000 0.0000 0.0000
0.0000 0.5000 0.0000
0.5000 0.0000 0.0000
0.0000 0.0000 0.5000
0.5000 0.5000 0.5000


Ac2SmBi (PBE, optimized geometry); volume = 38.1 A^3/atom; DFT formation energy = -334 meV per atom; space-group type = P4/mmm (123)
1.0
-0.4046 3.9642 -1.9428
0.0473 -1.9470 -3.9824
-7.7304 -0.6728 0.2372
Ac Sm Bi
2 1 1
Direct
0.0000 0.0000 0.7297
0.0000 0.0000 0.2703
0.5000 0.5000 0.0000
0.5000 0.5000 0.5000


Tb4MgAl (PBE, optimized geometry); volume = 32.1 A^3/atom; DFT formation energy = 200 meV per atom; space-group type = C2/m (12)
1.0
-2.5227 -4.4391 -0.1559
-0.4877 -2.8108 4.2397
-8.2684 1.6471 3.2105
Tb Al Mg
4 1 1
Direct
0.8716 0.8716 0.3853
0.6198 0.6199 0.1405
0.3802 0.3801 0.8595
0.1284 0.1284 0.6147
0.5000 0.5000 0.5000
0.0000 0.0000 0.0000


CaTb15Pm4 (PBE, optimized geometry); volume = 32.8 A^3/atom; DFT formation energy = 35 meV per atom; space-group type = P4/mmm (123)
1.0
5.0809 0.0000 0.0000
0.0000 5.0809 0.0000
0.0000 0.0000 25.4030
Tb Ca Pm
15 1 4
Direct
0.0000 0.5000 0.5000
0.0000 0.5000 0.3011
0.5000 0.0000 0.8966
0.0000 0.5000 0.8966
0.5000 0.5000 0.4001
0.5000 0.0000 0.5000
0.5000 0.5000 0.5999
0.5000 0.0000 0.1034
0.5000 0.0000 0.6989
0.0000 0.5000 0.6989
0.5000 0.5000 0.2004
0.5000 0.0000 0.3011
0.0000 0.5000 0.1034
0.5000 0.5000 0.7996
0.5000 0.5000 0.0000
0.0000 0.0000 0.0000
0.0000 0.0000 0.5996
0.0000 0.0000 0.2008
0.0000 0.0000 0.7992
0.0000 0.0000 0.4004


TbPm2Lu (PBE, optimized geometry); volume = 32.7 A^3/atom; DFT formation energy = 112 meV per atom; space-group type = Fm-3m (225)
1.0
-3.8979 -3.8197 1.6460
1.4494 -5.4823 0.5804
0.3097 -2.3319 5.1922
Pm Tb Lu
2 1 1
Direct
0.2500 0.2500 0.2500
0.7500 0.7500 0.7500
0.0000 0.0000 0.0000
0.5000 0.5000 0.5000


Y4Cd3Rh (PBE, optimized geometry); volume = 24.7 A^3/atom; DFT formation energy = -473 meV per atom; space-group type = P4/mmm (123)
1.0
3.6253 0.0000 0.0000
0.0000 3.6253 0.0000
0.0000 0.0000 15.0601
Y Cd Rh
4 3 1
Direct
0.0000 0.0000 0.1069
0.0000 0.0000 0.6296
0.0000 0.0000 0.3704
0.0000 0.0000 0.8931
0.5000 0.5000 0.7578
0.5000 0.5000 0.5000
0.5000 0.5000 0.2422
0.5000 0.5000 0.0000


Nd12Co6Hg (PBE, optimized geometry); volume = 26.2 A^3/atom; DFT formation energy = -132 meV per atom; space-group type = Im-3 (204)
1.0
8.6522 0.0000 0.0000
-2.8841 8.1574 0.0000
-2.8841 -4.0787 7.0645
Nd Co Hg
12 6 1
Direct
0.8065 0.3055 0.1120
0.8065 0.6945 0.5010
0.5010 0.8065 0.6945
0.6945 0.5010 0.8065
0.8880 0.1935 0.6945
0.4990 0.1935 0.3055
0.6945 0.8880 0.1935
0.1120 0.8065 0.3055
0.3055 0.4990 0.1935
0.3055 0.1120 0.8065
0.1935 0.3055 0.4990
0.1935 0.6945 0.8880
0.5000 0.8886 0.3886
0.6114 0.5000 0.1114
0.5000 0.1114 0.6114
0.3886 0.5000 0.8886
0.1114 0.6114 0.5000
0.8886 0.3886 0.5000
0.0000 0.0000 0.0000


Calculated E_tot, -6.422 -5.945 -3.383 -4.538 -3.777 -4.487 -4.551 -4.967 -5.403 eV per atom (same order as the records).